Entry from the Alexandria database: a geometry-optimized V2CdHgCl structure (PBE-GGA).

Lattice parameters (Å, degrees): 5.2166 5.6572 5.2166 90.00 90.00 90.00
Positions (direct):
Cl 0.0000 0.5000 0.0000
V 0.0000 0.0000 0.5000
V 0.5000 0.0000 0.0000
Hg 0.0000 0.0000 0.0000
Cd 0.5000 0.5000 0.5000

Results
The energy relative to the elements, uncorrected is 1.17 eV/atom. Its mass density is 4.9 g cm⁻³. As for the crystal system: tetragonal. The density of states at the Fermi level is 1.7738 states/eV per atom.

---

Entry from the Alexandria database: a geometry-optimized YCdHgCl2 structure (PBE-GGA).

Lattice parameters (Å, degrees): 5.0696 5.8770 5.0696 90.00 90.00 90.00
Positions (direct):
Y 0.5000 0.5000 0.5000
Cl 0.0000 0.0000 0.5000
Cl 0.5000 0.0000 0.0000
Hg 0.0000 0.5000 0.0000
Cd 0.0000 0.0000 0.0000

Results
The energy relative to the elements, uncorrected is -0.24 eV/atom. Its mass density is 5.2 g cm⁻³. As for the crystal system: tetragonal. The density of states at the Fermi level is 0.6487 states/eV per atom.

---

Entry from the Alexandria database: a geometry-optimized ZnCd2HgCl structure (PBE-GGA).

Lattice parameters (Å, degrees): 5.2849 5.2549 5.2849 90.00 90.00 90.00
Positions (direct):
Zn 0.0000 0.0000 0.0000
Cl 0.0000 0.5000 0.0000
Hg 0.5000 0.5000 0.5000
Cd 0.0000 0.0000 0.5000
Cd 0.5000 0.0000 0.0000

Results
The energy relative to the elements, uncorrected is -0.08 eV/atom. Its mass density is 6.0 g cm⁻³. As for the crystal system: tetragonal. The density of states at the Fermi level is 0.2688 states/eV per atom.

---

Here are the calculated total magnetization numbers, same order: 1.45, 0.17, 0.00 (μB/atom).